(1)
Here is a relaxed PdPtW2Cl crystal from Alexandria. Energies are from PBE-GGA.

a = 4.377 Å, b = 4.506 Å, c = 4.377 Å
α = 90.00°, β = 90.00°, γ = 90.00°
Positions (direct):
Pd  0.500  0.500  0.500
W  0.000  0.000  0.500
W  0.500  0.000  0.000
Pt  0.000  0.500  0.000
Cl  0.000  0.000  0.000

Computed properties:
As for the space group: No. 123. As for the uncorrected formation energy: 1.408 eV/atom. For the density of states at the Fermi level, the calculation gives 7.8 states/eV per cell.

(2)
Here is a relaxed SrCrIr2 crystal from Alexandria. Energies are from PBE-GGA.

a = 4.623 Å, b = 4.623 Å, c = 4.623 Å
α = 60.00°, β = 60.00°, γ = 60.00°
Each line ends with the local moment (μB).
Positions (direct):
Sr  0.500  0.500  0.500  0.00
Ir  0.250  0.250  0.250  0.10
Ir  0.750  0.750  0.750  0.10
Cr  0.000  0.000  0.000  0.01

Computed properties:
As for the space group: No. 225. For the density of states at the Fermi level, the calculation gives 10.1 states/eV per cell. The energy relative to the lowest polymorph listed for this composition is 729.3 meV per atom. Its formation energy is 72.8 kJ per mole of atoms.

(3)
Here is a relaxed Mn2V6Cr crystal from Alexandria. Energies are from PBE-GGA.

a = 2.907 Å, b = 4.842 Å, c = 8.682 Å
α = 75.26°, β = 80.36°, γ = 72.53°
Positions (direct):
Mn  0.336  0.110  0.218
Mn  0.664  0.890  0.782
V  0.668  0.554  0.110
V  0.332  0.446  0.890
V  0.330  0.778  0.561
V  0.996  0.679  0.329
V  0.004  0.321  0.671
V  0.670  0.222  0.439
Cr  0.000  0.000  0.000

Computed properties:
As for the space group: No. 12. For the density of states at the Fermi level, the calculation gives 7.6 states/eV per cell. The energy relative to the lowest polymorph listed for this composition is 0.0 meV per atom. Its formation energy is -12.4 kJ per mole of atoms.